# 1
! Pm2Tm5Pb5 | the Alexandria database | PBE-GGA | optimized geometry; values from VASP
! DOS at the Fermi energy = 8.984 states/eV per cell
! ΔE_f = -0.340 eV/atom
! total magnetic moment = 0.0 μB per formula unit
! crystal system = monoclinic
&SYSTEM
  ibrav = 0, nat = 12, ntyp = 3
/
ATOMIC_SPECIES
Pm 145.00 Pm.upf
Tm 168.93 Tm.upf
Pb 207.20 Pb.upf
ATOMIC_POSITIONS angstrom
Pm -0.086 0.000 2.942
Pm 9.014 0.000 8.421
Tm 3.684 0.000 2.229
Tm 2.547 0.000 5.556
Tm 6.492 0.000 0.000
Tm 6.381 0.000 5.807
Tm 5.245 0.000 9.134
Pb -2.028 0.000 5.682
Pb -2.176 0.000 11.083
Pb 0.501 0.000 8.045
Pb 8.428 0.000 3.318
Pb 11.104 0.000 0.280
CELL_PARAMETERS angstrom
6.492 -2.461 0.000
6.492 2.461 0.000
-4.056 0.000 11.364

=====

# 2
! Pm2TmPb4 | the Alexandria database | PBE-GGA | optimized geometry; values from VASP
! DOS at the Fermi energy = 10.351 states/eV per cell
! ΔE_f = -0.303 eV/atom
! total magnetic moment = 0.0 μB per formula unit
! crystal system = monoclinic
&SYSTEM
  ibrav = 0, nat = 14, ntyp = 3
/
ATOMIC_SPECIES
Pm 145.00 Pm.upf
Tm 168.93 Tm.upf
Pb 207.20 Pb.upf
ATOMIC_POSITIONS angstrom
Pm -0.555 1.629 5.020
Pm 0.992 1.629 0.869
Pm 2.503 4.886 9.516
Pm 4.050 4.886 5.364
Tm 1.080 4.886 3.168
Tm 2.415 1.629 7.216
Pb -1.183 0.060 8.047
Pb -1.183 3.197 8.047
Pb 2.279 4.886 0.339
Pb 1.034 4.886 6.305
Pb 2.461 1.629 4.080
Pb 1.216 1.629 10.046
Pb 4.678 3.317 2.338
Pb 4.678 6.455 2.338
CELL_PARAMETERS angstrom
6.273 0.000 0.000
0.000 6.515 0.000
-2.778 0.000 10.385

=====

# 3
! Pm2TmPb3 | the Alexandria database | PBE-GGA | optimized geometry; values from VASP
! DOS at the Fermi energy = 12.634 states/eV per cell
! excess energy over the best structure of this formula in the dataset = 2.31 kJ/mol of atoms
! ΔE_f = -0.428 eV/atom
! total magnetic moment = 0.3 μB per formula unit
! crystal system = monoclinic
&SYSTEM
  ibrav = 0, nat = 12, ntyp = 3
/
ATOMIC_SPECIES
Pm 145.00 Pm.upf
Tm 168.93 Tm.upf
Pb 207.20 Pb.upf
ATOMIC_POSITIONS angstrom
Pm 0.000 0.000 0.000
Pm -0.008 0.000 3.487
Pm 2.902 2.872 0.000
Pm 2.902 -2.872 0.000
Tm 2.894 2.884 3.487
Tm 2.894 -2.884 3.487
Pb 2.898 5.749 1.805
Pb 2.890 5.749 5.168
Pb 2.897 0.000 1.792
Pb 2.891 0.000 5.182
Pb 2.898 -5.749 1.805
Pb 2.890 -5.749 5.168
CELL_PARAMETERS angstrom
2.902 -8.691 0.000
2.902 8.691 0.000
-0.017 0.000 6.973

=====

# 4
! Pm5Tm2Pb4 | the Alexandria database | PBE-GGA | optimized geometry; values from VASP
! DOS at the Fermi energy = 11.474 states/eV per cell
! ΔE_f = -0.116 eV/atom
! total magnetic moment = 0.0 μB per formula unit
! crystal system = monoclinic
&SYSTEM
  ibrav = 0, nat = 11, ntyp = 3
/
ATOMIC_SPECIES
Pm 145.00 Pm.upf
Tm 168.93 Tm.upf
Pb 207.20 Pb.upf
ATOMIC_POSITIONS angstrom
Pm 0.000 0.000 0.000
Pm 6.919 0.000 5.918
Pm 9.771 0.000 1.183
Pm 17.199 0.000 6.365
Pm 20.051 0.000 1.630
Tm 11.063 0.000 5.296
Tm 15.907 0.000 2.252
Pb 4.511 0.000 3.722
Pb 12.640 0.000 2.528
Pb 14.329 0.000 5.020
Pb 22.459 0.000 3.825
CELL_PARAMETERS angstrom
13.650 -1.780 0.000
13.650 1.780 0.000
-0.331 0.000 7.547

=====

# 5
! Pm3Tm2Pb3 | the Alexandria database | PBE-GGA | optimized geometry; values from VASP
! DOS at the Fermi energy = 13.837 states/eV per cell
! excess energy over the best structure of this formula in the dataset = 0.00 kJ/mol of atoms
! ΔE_f = -0.538 eV/atom
! total magnetic moment = 0.0 μB per formula unit
! crystal system = hexagonal
&SYSTEM
  ibrav = 0, nat = 16, ntyp = 3
/
ATOMIC_SPECIES
Pm 145.00 Pm.upf
Tm 168.93 Tm.upf
Pb 207.20 Pb.upf
ATOMIC_POSITIONS angstrom
Pm -1.100 1.906 1.668
Pm -3.491 6.047 5.005
Pm 2.201 0.000 1.668
Pm 1.100 1.906 5.005
Pm 6.983 0.000 5.005
Pm 3.491 6.047 1.668
Tm 0.000 5.302 0.000
Tm 0.000 5.302 3.337
Tm 4.592 2.651 0.000
Tm 4.592 2.651 3.337
Pb -1.827 3.165 5.005
Pb -2.765 4.788 1.668
Pb 3.654 0.000 5.005
Pb 1.827 3.165 1.668
Pb 5.529 0.000 1.668
Pb 2.765 4.788 5.005
CELL_PARAMETERS angstrom
9.183 0.000 0.000
-4.592 7.953 0.000
0.000 0.000 6.674

=====

# 6
! PmTm3Pb2 | the Alexandria database | PBE-GGA | optimized geometry; values from VASP
! DOS at the Fermi energy = 14.480 states/eV per cell
! excess energy over the best structure of this formula in the dataset = 6.46 kJ/mol of atoms
! ΔE_f = -0.308 eV/atom
! total magnetic moment = 0.0 μB per formula unit
! crystal system = monoclinic
&SYSTEM
  ibrav = 0, nat = 12, ntyp = 3
/
ATOMIC_SPECIES
Pm 145.00 Pm.upf
Tm 168.93 Tm.upf
Pb 207.20 Pb.upf
ATOMIC_POSITIONS angstrom
Pm 1.577 0.000 1.157
Pm 12.833 0.000 7.622
Tm -1.508 0.000 6.025
Tm 5.155 0.000 0.981
Tm 4.602 0.000 4.521
Tm 9.809 0.000 4.257
Tm 9.256 0.000 7.797
Tm 15.919 0.000 2.753
Pb 1.803 0.000 6.228
Pb 8.303 0.000 1.334
Pb 6.107 0.000 7.445
Pb 12.608 0.000 2.551
CELL_PARAMETERS angstrom
9.061 -2.286 0.000
9.061 2.286 0.000
-3.711 0.000 8.778

=====

# 7
! PmTm3Pb4 | the Alexandria database | PBE-GGA | optimized geometry; values from VASP
! DOS at the Fermi energy = 10.726 states/eV per cell
! ΔE_f = -0.411 eV/atom
! total magnetic moment = 0.0 μB per formula unit
! crystal system = orthorhombic
&SYSTEM
  ibrav = 0, nat = 16, ntyp = 3
/
ATOMIC_SPECIES
Pm 145.00 Pm.upf
Tm 168.93 Tm.upf
Pb 207.20 Pb.upf
ATOMIC_POSITIONS angstrom
Pm 0.000 0.000 0.000
Pm 5.563 0.000 3.202
Tm 0.000 3.201 3.202
Tm 2.781 1.615 1.601
Tm 2.781 4.787 4.804
Tm 5.563 3.201 0.000
Tm 8.344 1.615 1.601
Tm 8.344 4.787 4.804
Pb 0.000 0.000 3.202
Pb 0.000 3.201 0.000
Pb 2.781 1.596 4.804
Pb 2.781 4.806 1.601
Pb 5.563 0.000 0.000
Pb 5.563 3.201 3.202
Pb 8.344 1.596 4.804
Pb 8.344 4.806 1.601
CELL_PARAMETERS angstrom
11.126 0.000 0.000
0.000 6.402 0.000
0.000 0.000 6.405

=====

# 8
! PmTm4Pb5 | the Alexandria database | PBE-GGA | optimized geometry; values from VASP
! DOS at the Fermi energy = 7.490 states/eV per cell
! excess energy over the best structure of this formula in the dataset = 0.00 kJ/mol of atoms
! ΔE_f = -0.398 eV/atom
! total magnetic moment = 0.0 μB per formula unit
! crystal system = tetragonal
&SYSTEM
  ibrav = 0, nat = 10, ntyp = 3
/
ATOMIC_SPECIES
Pm 145.00 Pm.upf
Tm 168.93 Tm.upf
Pb 207.20 Pb.upf
ATOMIC_POSITIONS angstrom
Pm 0.000 0.000 0.000
Tm 0.000 0.000 4.528
Tm 0.000 0.000 8.960
Tm 0.000 0.000 13.377
Tm 0.000 0.000 17.809
Pb 1.765 1.765 2.348
Pb 1.765 1.765 6.748
Pb 1.765 1.765 11.169
Pb 1.765 1.765 15.590
Pb 1.765 1.765 19.989
CELL_PARAMETERS angstrom
3.530 0.000 0.000
0.000 3.530 0.000
0.000 0.000 22.337

=====

Please write out number 7 again, unchanged.
! PmTm3Pb4 | the Alexandria database | PBE-GGA | optimized geometry; values from VASP
! DOS at the Fermi energy = 10.726 states/eV per cell
! ΔE_f = -0.411 eV/atom
! total magnetic moment = 0.0 μB per formula unit
! crystal system = orthorhombic
&SYSTEM
  ibrav = 0, nat = 16, ntyp = 3
/
ATOMIC_SPECIES
Pm 145.00 Pm.upf
Tm 168.93 Tm.upf
Pb 207.20 Pb.upf
ATOMIC_POSITIONS angstrom
Pm 0.000 0.000 0.000
Pm 5.563 0.000 3.202
Tm 0.000 3.201 3.202
Tm 2.781 1.615 1.601
Tm 2.781 4.787 4.804
Tm 5.563 3.201 0.000
Tm 8.344 1.615 1.601
Tm 8.344 4.787 4.804
Pb 0.000 0.000 3.202
Pb 0.000 3.201 0.000
Pb 2.781 1.596 4.804
Pb 2.781 4.806 1.601
Pb 5.563 0.000 0.000
Pb 5.563 3.201 3.202
Pb 8.344 1.596 4.804
Pb 8.344 4.806 1.601
CELL_PARAMETERS angstrom
11.126 0.000 0.000
0.000 6.402 0.000
0.000 0.000 6.405

=====

Question: Which of these has the highest DOS at the Fermi energy?
Answer: PmTm3Pb2

=====

Question: The highest DOS at the Fermi energy belongs to which entry?
Answer: PmTm3Pb2

=====

Question: Number 5 is which compound?
Answer: Pm3Tm2Pb3